1.
Crystalline Al2RhW at its relaxed geometry. Source: Alexandria, functional GGA-PBE.

Values from the calculation:
The energy of formation from the pure elements is -258 meV/atom. The calculation puts the volume at 14.92 A^3/atom. The relative energy among the computed polymorphs comes out at 190 meV/atom. The space group is C2/m, No. 12.

Unit cell a=4.9832 b=4.9832 c=2.7523 alpha=78.85 beta=78.85 gamma=111.56
Fractional positions:
Rh  0.5000  0.0000  0.5000
Al  0.0000  0.0000  0.0000
Al  0.5000  0.5000  0.0000
W  0.0000  0.5000  0.5000

2.
Crystalline TbNd3Th2Bi6 at its relaxed geometry. Source: Alexandria, functional GGA-PBE.

Values from the calculation:
The energy of formation from the pure elements is -820 meV/atom. The calculation puts the volume at 34.15 A^3/atom. The space group is C2/m, No. 12.

Unit cell a=4.5922 b=9.1705 c=10.2637 alpha=103.04 beta=102.93 gamma=90.00
Fractional positions:
Tb  0.5000  0.0000  0.0000
Nd  0.5000  0.5000  0.0000
Nd  0.8331  0.1659  0.6662
Nd  0.1669  0.8341  0.3338
Th  0.8351  0.6692  0.6702
Th  0.1649  0.3308  0.3298
Bi  0.3355  0.9178  0.6710
Bi  0.6673  0.5828  0.3346
Bi  0.6645  0.0822  0.3290
Bi  0.9995  0.2446  0.9990
Bi  0.0005  0.7554  0.0010
Bi  0.3327  0.4172  0.6654

Number 1: total magnetization 0.00 μB/f.u.. Number 2: total magnetization 0.00 μB/f.u..